No. 1
{"formula": "YTmSn", "functional": "PBE", "state": "optimized geometry", "energy_ry_per_atom": -0.3532, "delta_e_f_ev_per_atom": 0.175, "cell": [[-0.5386, 1.3853, 2.9859], [-3.2090, -0.8948, -0.1638], [3.7761, -7.7691, 2.4226]], "species": ["Tm", "Sn", "Y"], "fractional_positions": [[0.7591, 0.7591, 0.5183], [0.1340, 0.1340, 0.2681], [0.9568, 0.9568, 0.9137]]}

No. 2
{"formula": "Ba5I3F12", "functional": "PBE", "state": "optimized geometry", "energy_ry_per_atom": -0.3290, "raw_formation_energy_kj_per_mol_atoms": -254.81, "cell": [[13.9879, 0.0000, 0.0000], [-4.6626, 13.1879, 0.0000], [-4.6626, -6.5940, 11.4211]], "species": ["F", "F", "F", "F", "F", "F", "F", "F", "F", "F", "F", "F", "F", "F", "F", "F", "F", "F", "F", "F", "F", "F", "F", "F", "F", "F", "F", "F", "F", "F", "F", "F", "F", "F", "F", "F", "F", "F", "F", "F", "F", "F", "F", "F", "F", "F", "F", "F", "Ba", "Ba", "Ba", "Ba", "Ba", "Ba", "Ba", "Ba", "Ba", "Ba", "Ba", "Ba", "Ba", "Ba", "Ba", "Ba", "Ba", "Ba", "Ba", "Ba", "I", "I", "I", "I", "I", "I", "I", "I", "I", "I", "I", "I"], "fractional_positions": [[0.4364, 0.0236, 0.3158], [0.1206, 0.9364, 0.4127], [0.8158, 0.9364, 0.0236], [0.9127, 0.2921, 0.4764], [0.0636, 0.8794, 0.0873], [0.3794, 0.0873, 0.5636], [0.0873, 0.3794, 0.0636], [0.6842, 0.2079, 0.6206], [0.5236, 0.3158, 0.9364], [0.9127, 0.6206, 0.9364], [0.2921, 0.3794, 0.8158], [0.1206, 0.1842, 0.2079], [0.6206, 0.7079, 0.6842], [0.6842, 0.4764, 0.5636], [0.0236, 0.4364, 0.8158], [0.3158, 0.5236, 0.4364], [0.5636, 0.5873, 0.3794], [0.8794, 0.0636, 0.5873], [0.9764, 0.5636, 0.1842], [0.2921, 0.9127, 0.9764], [0.7079, 0.6206, 0.1842], [0.1842, 0.1206, 0.7079], [0.5873, 0.0236, 0.2079], [0.8158, 0.8794, 0.2921], [0.4127, 0.9764, 0.7921], [0.3794, 0.2921, 0.3158], [0.5873, 0.5636, 0.8794], [0.7921, 0.4764, 0.4127], [0.2079, 0.6842, 0.1206], [0.4364, 0.4127, 0.6206], [0.4764, 0.6842, 0.0636], [0.4127, 0.4364, 0.1206], [0.0636, 0.1842, 0.4764], [0.2079, 0.5236, 0.5873], [0.0873, 0.7079, 0.5236], [0.1842, 0.0636, 0.9764], [0.6206, 0.9127, 0.4364], [0.5636, 0.9764, 0.6842], [0.9364, 0.8158, 0.5236], [0.5236, 0.2079, 0.0873], [0.3158, 0.7921, 0.3794], [0.4764, 0.7921, 0.9127], [0.9764, 0.4127, 0.2921], [0.9364, 0.1206, 0.9127], [0.7921, 0.3158, 0.8794], [0.0236, 0.5873, 0.7079], [0.7079, 0.0873, 0.0236], [0.8794, 0.8158, 0.7921], [0.7500, 0.6250, 0.3750], [0.2500, 0.8750, 0.1250], [0.6250, 0.7500, 0.8750], [0.8750, 0.2500, 0.6250], [0.5000, 0.0000, 0.5000], [0.5000, 0.5000, 0.5000], [0.0000, 0.0000, 0.0000], [0.0000, 0.0000, 0.5000], [0.8750, 0.6250, 0.7500], [0.6250, 0.8750, 0.2500], [0.2500, 0.3750, 0.6250], [0.5000, 0.5000, 0.0000], [0.1250, 0.3750, 0.2500], [0.3750, 0.1250, 0.7500], [0.7500, 0.1250, 0.8750], [0.0000, 0.5000, 0.5000], [0.0000, 0.5000, 0.0000], [0.1250, 0.7500, 0.3750], [0.5000, 0.0000, 0.0000], [0.3750, 0.2500, 0.1250], [0.7500, 0.8750, 0.6250], [0.3750, 0.6250, 0.2500], [0.1250, 0.8750, 0.7500], [0.6250, 0.2500, 0.3750], [0.7500, 0.3750, 0.1250], [0.2500, 0.1250, 0.3750], [0.8750, 0.7500, 0.1250], [0.1250, 0.2500, 0.8750], [0.3750, 0.7500, 0.6250], [0.2500, 0.6250, 0.8750], [0.6250, 0.3750, 0.7500], [0.8750, 0.1250, 0.2500]]}

No. 3
{"formula": "La8Nd5Pu", "functional": "PBE", "state": "optimized geometry", "energy_ry_per_atom": -0.3955, "delta_e_f_ev_per_atom": 0.162, "cell": [[-7.6910, 2.3411, -3.9186], [2.2045, -4.2125, -7.7245], [0.1870, -4.3980, 7.7853]], "species": ["Nd", "Nd", "Nd", "Nd", "Nd", "La", "La", "La", "La", "La", "La", "La", "La", "Pu"], "fractional_positions": [[0.2662, 0.9635, 0.0302], [0.7869, 0.7387, 0.6300], [0.8913, 0.2613, 0.0482], [0.5021, 0.0000, 0.5021], [0.0667, 0.0365, 0.3027], [0.6629, 0.6936, 0.1186], [0.4337, 0.4192, 0.5000], [0.1098, 0.6995, 0.4847], [0.5704, 0.9239, 0.8919], [0.9680, 0.0761, 0.6465], [0.0808, 0.5808, 0.0145], [0.4250, 0.3064, 0.9694], [0.7851, 0.3005, 0.4103], [0.2011, 0.5000, 0.7011]]}